VASP calculation (GGA-PBE) on a relaxed structure of IrRu2N.

Lattice parameters (Å, degrees): 6.148 6.148 5.165 53.48 53.48 90.00
Positions (direct):
Ru: 0.524 0.125 0.250
Ru: 0.226 0.625 0.250
Ru: 0.375 0.476 0.750
Ru: 0.875 0.774 0.750
Ir: 0.000 0.000 0.000
Ir: 0.750 0.250 0.500
N: 0.500 0.500 0.000
N: 0.250 0.750 0.500

Calculated values
Total magnetic moment   0.00 μB per atom
E_form (uncorrected)   45 kJ per mole of atoms
Energy above the most stable polymorph in this dataset   0.000 eV per atom